The following is a GGA-PBE calculation of an optimized crystal structure of Th4SnBi2As, from Alexandria via LeMat-Bulk.

Structure (POSCAR):
```
Th4SnBi2As
1.0
7.7465 0.0000 0.0000
0.0000 4.4628 0.0000
-2.5712 0.0000 7.4483
Th Sn Bi As
4 1 2 1
Direct
0.2305 0.0000 0.2229
0.2457 0.5000 0.7692
0.7543 0.5000 0.2308
0.7695 0.0000 0.7771
0.5000 0.0000 0.0000
0.0000 0.0000 0.5000
0.5000 0.5000 0.5000
0.0000 0.5000 0.0000
```

Summary:
**Space-group type**: P2/m, No. 10
**ΔE_f**: -6.068 eV/f.u.
**Electronic total energy**: -6.520 eV/atom
**Fermi-level density of states**: 0.64 states/eV per atom
**Magnetization**: 0.00 μB/cell

The following is a GGA-PBE calculation of an optimized crystal structure of Th6SnBi3As2, from Alexandria via LeMat-Bulk.

Structure (POSCAR):
```
Th6SnBi3As2
1.0
9.8023 -2.2202 0.0000
9.8023 2.2202 0.0000
-2.2616 0.0000 8.7275
Th Sn Bi As
6 1 3 2
Direct
0.0106 0.0106 0.2482
0.3256 0.3256 0.4346
0.3332 0.3332 0.8922
0.6668 0.6668 0.1078
0.6744 0.6744 0.5654
0.9894 0.9894 0.7518
0.5000 0.5000 0.0000
0.1628 0.1628 0.8323
0.5000 0.5000 0.5000
0.8372 0.8372 0.1677
0.1682 0.1682 0.3352
0.8318 0.8318 0.6648
```

Summary:
**Space-group type**: C2/m, No. 12
**ΔE_f**: -10.052 eV/f.u.
**Electronic total energy**: -6.626 eV/atom
**Fermi-level density of states**: 0.53 states/eV per atom
**Magnetization**: 0.00 μB/cell

The following is a GGA-PBE calculation of an optimized crystal structure of Tm4SnBi2As, from Alexandria via LeMat-Bulk.

Structure (POSCAR):
```
Tm4SnBi2As
1.0
7.4410 0.0000 0.0000
0.0000 4.2575 0.0000
-2.4481 0.0000 7.1910
Tm Sn Bi As
4 1 2 1
Direct
0.2281 0.0000 0.2329
0.2362 0.5000 0.7570
0.7638 0.5000 0.2430
0.7719 0.0000 0.7671
0.0000 0.0000 0.5000
0.5000 0.0000 0.0000
0.5000 0.5000 0.5000
0.0000 0.5000 0.0000
```

Summary:
**Space-group type**: P2/m, No. 10
**ΔE_f**: -6.847 eV/f.u.
**Electronic total energy**: -5.143 eV/atom
**Fermi-level density of states**: 0.42 states/eV per atom
**Magnetization**: 0.00 μB/cell

The following is a GGA-PBE calculation of an optimized crystal structure of Sr2BiAs2, from Alexandria via LeMat-Bulk.

Structure (POSCAR):
```
Sr2BiAs2
1.0
-3.0852 3.0852 4.2305
3.0852 -3.0852 4.2305
3.0852 3.0852 -4.2305
Sr Bi As
2 1 2
Direct
0.2500 0.7500 0.5000
0.7500 0.2500 0.5000
0.0000 0.0000 0.0000
0.3477 0.3477 0.0000
0.6523 0.6523 0.0000
```

Summary:
**Space-group type**: I4/mmm, No. 139
**ΔE_f**: -3.038 eV/f.u.
**Electronic total energy**: -3.916 eV/atom
**Fermi-level density of states**: 1.09 states/eV per atom
**Relative energy among the computed polymorphs**: 210 meV/atom
**Magnetization**: 0.00 μB/cell

The following is a GGA-PBE calculation of an optimized crystal structure of Sr2Bi2As, from Alexandria via LeMat-Bulk.

Structure (POSCAR):
```
Sr2Bi2As
1.0
8.2655 0.0000 0.0000
0.0000 8.2655 0.0000
0.0000 0.0000 4.9127
Sr Bi As
4 4 2
Direct
0.1716 0.3284 0.0000
0.3284 0.8284 0.0000
0.6716 0.1716 0.0000
0.8284 0.6716 0.0000
0.1371 0.6371 0.5000
0.3629 0.1371 0.5000
0.6371 0.8629 0.5000
0.8629 0.3629 0.5000
0.0000 0.0000 0.5000
0.5000 0.5000 0.5000
```

Summary:
**Space-group type**: P4/mbm, No. 127
**ΔE_f**: -2.826 eV/f.u.
**Electronic total energy**: -3.720 eV/atom
**Fermi-level density of states**: 0.52 states/eV per atom
**Relative energy among the computed polymorphs**: 0 meV/atom
**Magnetization**: 0.00 μB/cell

The following is a GGA-PBE calculation of an optimized crystal structure of Sr2BiAs2, from Alexandria via LeMat-Bulk.

Structure (POSCAR):
```
Sr2BiAs2
1.0
8.2564 0.0000 0.0000
0.0000 8.2564 0.0000
0.0000 0.0000 4.3013
Sr Bi As
4 2 4
Direct
0.1506 0.3494 0.0000
0.3494 0.8494 0.0000
0.6506 0.1506 0.0000
0.8494 0.6506 0.0000
0.0000 0.0000 0.5000
0.5000 0.5000 0.5000
0.1565 0.6565 0.5000
0.3435 0.1565 0.5000
0.6565 0.8435 0.5000
0.8435 0.3435 0.5000
```

Summary:
**Space-group type**: P4/mbm, No. 127
**ΔE_f**: -4.085 eV/f.u.
**Electronic total energy**: -4.126 eV/atom
**Fermi-level density of states**: 0.73 states/eV per atom
**Relative energy among the computed polymorphs**: 0 meV/atom
**Magnetization**: 0.00 μB/cell

The following is a GGA-PBE calculation of an optimized crystal structure of SrBi2As, from Alexandria via LeMat-Bulk.

Structure (POSCAR):
```
SrBi2As
1.0
4.7432 0.0000 0.0000
0.0000 4.7432 0.0000
0.0000 0.0000 5.2511
Sr Bi As
1 2 1
Direct
0.0000 0.0000 0.0000
0.0000 0.5000 0.5000
0.5000 0.0000 0.5000
0.5000 0.5000 0.0000
```

Summary:
**Space-group type**: P4/mmm, No. 123
**ΔE_f**: -1.511 eV/f.u.
**Electronic total energy**: -3.901 eV/atom
**Fermi-level density of states**: 0.79 states/eV per atom
**Magnetization**: 0.00 μB/cell

The following is a GGA-PBE calculation of an optimized crystal structure of Sr2Bi2As, from Alexandria via LeMat-Bulk.

Structure (POSCAR):
```
Sr2Bi2As
1.0
-3.2854 3.2854 4.4407
3.2854 -3.2854 4.4407
3.2854 3.2854 -4.4407
Sr Bi As
2 2 1
Direct
0.2500 0.7500 0.5000
0.7500 0.2500 0.5000
0.1754 0.1754 0.0000
0.8246 0.8246 0.0000
0.5000 0.5000 0.0000
```

Summary:
**Space-group type**: I4/mmm, No. 139
**ΔE_f**: -1.728 eV/f.u.
**Electronic total energy**: -3.501 eV/atom
**Fermi-level density of states**: 0.98 states/eV per atom
**Relative energy among the computed polymorphs**: 220 meV/atom
**Magnetization**: 0.00 μB/cell

The following is a GGA-PBE calculation of an optimized crystal structure of Sr2BiAs, from Alexandria via LeMat-Bulk.

Structure (POSCAR):
```
Sr2BiAs
1.0
0.0000 4.0090 4.0090
4.0090 0.0000 4.0090
4.0090 4.0090 0.0000
Sr Bi As
2 1 1
Direct
0.2500 0.2500 0.2500
0.7500 0.7500 0.7500
0.0000 0.0000 0.0000
0.5000 0.5000 0.5000
```

Summary:
**Space-group type**: Fm-3m, No. 225
**ΔE_f**: -2.925 eV/f.u.
**Electronic total energy**: -3.705 eV/atom
**Fermi-level density of states**: 1.07 states/eV per atom
**Magnetization**: 0.00 μB/cell

The following is a GGA-PBE calculation of an optimized crystal structure of Sr2BiAs, from Alexandria via LeMat-Bulk.

Structure (POSCAR):
```
Sr2BiAs
1.0
3.7634 0.0000 0.0000
0.0000 3.7634 0.0000
0.0000 0.0000 8.9116
Sr Bi As
2 1 1
Direct
0.0000 0.0000 0.2087
0.0000 0.0000 0.7913
0.5000 0.5000 0.5000
0.5000 0.5000 0.0000
```

Summary:
**Space-group type**: P4/mmm, No. 123
**ΔE_f**: -3.431 eV/f.u.
**Electronic total energy**: -3.831 eV/atom
**Fermi-level density of states**: 0.23 states/eV per atom
**Magnetization**: 0.00 μB/cell

The following is a GGA-PBE calculation of an optimized crystal structure of Sr8Bi5As, from Alexandria via LeMat-Bulk.

Structure (POSCAR):
```
Sr8Bi5As
1.0
-5.0333 5.0333 5.0875
5.0333 -5.0333 5.0875
5.0333 5.0333 -5.0875
Sr Bi As
8 5 1
Direct
0.1099 0.2339 0.7381
0.1176 0.7180 0.7457
0.2820 0.0277 0.3996
0.4957 0.3717 0.2619
0.6281 0.8824 0.6004
0.6283 0.8901 0.1240
0.7661 0.5043 0.8760
0.9723 0.3719 0.2543
0.0000 0.0000 0.0000
0.2484 0.6220 0.1292
0.3780 0.5071 0.6263
0.4929 0.1192 0.8708
0.8808 0.7516 0.3737
0.7500 0.2500 0.5000
```

Summary:
**Space-group type**: I-4, No. 82
**ΔE_f**: -12.776 eV/f.u.
**Electronic total energy**: -3.592 eV/atom
**Fermi-level density of states**: 0.75 states/eV per atom
**Magnetization**: 0.00 μB/cell

The following is a GGA-PBE calculation of an optimized crystal structure of SrBiAs3, from Alexandria via LeMat-Bulk.

Structure (POSCAR):
```
SrBiAs3
1.0
5.5455 0.0000 0.0000
0.0000 5.5455 0.0000
0.0000 0.0000 5.5455
Sr Bi As
1 1 3
Direct
0.0000 0.0000 0.0000
0.5000 0.5000 0.5000
0.0000 0.0000 0.5000
0.0000 0.5000 0.0000
0.5000 0.0000 0.0000
```

Summary:
**Space-group type**: Pm-3m, No. 221
**ΔE_f**: 4.595 eV/f.u.
**Electronic total energy**: -2.983 eV/atom
**Fermi-level density of states**: 1.54 states/eV per atom
**Relative energy among the computed polymorphs**: 647 meV/atom
**Magnetization**: 0.00 μB/cell